Entry 1:
VASP calculation (GGA-PBE) on CrPd4 after structural relaxation.

Geometry as POSCAR:
```
CrPd4
1.0
4.9337 0.0000 0.0000
-2.4669 3.8424 -2.4669
0.0000 0.0000 4.9337
Pd Cr
4 1
direct
0.6603 0.3206 0.6603
0.2500 0.5000 0.7500
0.7500 0.5000 0.2500
0.3397 0.6794 0.3397
0.0000 0.0000 0.0000
```

Calculated values
Offset from the most stable computed form: 2.28 eV per formula unit
Space-group type: I4/mmm (139)
Magnetization: 3.90 μB/f.u.
V: 94 Å³/cell
DOS(E_F): 6.111 states/eV/cell
Raw total energy: -0.2017 Ha/atom

***

Entry 2:
VASP calculation (GGA-PBE) on CrCu2 after structural relaxation.

Geometry as POSCAR:
```
CrCu2
1.0
1.5032 -2.0986 -4.0235
1.1284 -1.1264 4.5067
-4.6543 -1.0877 -0.0806
Cr Cu
2 4
direct
0.7500 0.7500 0.0000
0.2500 0.2500 0.0000
0.1457 0.6457 0.7914
0.3543 0.1457 0.5000
0.8543 0.3543 0.2086
0.6457 0.8543 0.5000
```

Calculated values
Space-group type: I4/mcm (140)
Magnetization: 0.48 μB/f.u.
V: 77 Å³/cell
DOS(E_F): 5.523 states/eV/cell
Raw total energy: -0.1974 Ha/atom

***

Entry 3:
VASP calculation (GGA-PBE) on Ba2LiZn2Ga after structural relaxation.

Geometry as POSCAR:
```
Ba2LiZn2Ga
1.0
-0.8147 2.4751 6.0857
5.3116 -3.3729 2.0828
2.4703 6.7001 -5.9950
Ga Zn Ba Li
2 4 4 2
direct
0.0000 0.2500 0.0000
0.0000 0.7500 0.0000
0.3193 0.5876 0.1752
0.8558 0.0876 0.1752
0.1442 0.9124 0.8248
0.6807 0.4124 0.8248
0.0947 0.3395 0.6790
0.9053 0.6605 0.3210
0.4157 0.1605 0.3210
0.5843 0.8395 0.6790
0.5000 0.2500 0.0000
0.5000 0.7500 0.0000
```

Calculated values
Space-group type: Ibam (72)
Magnetization: 0.00 μB/f.u.
V: 354 Å³/cell
DOS(E_F): 9.202 states/eV/cell
Raw total energy: -0.0774 Ha/atom

***

Entry 4:
VASP calculation (GGA-PBE) on TbNdAsSe after structural relaxation.

Geometry as POSCAR:
```
TbNdAsSe
1.0
4.1788 0.0000 0.0000
2.0894 3.6190 0.0000
2.0894 1.2063 6.8856
Se Tb As Nd
1 1 1 1
direct
0.6973 0.6973 0.9080
0.4480 0.4480 0.6560
0.1909 0.1909 0.4274
0.9402 0.9402 0.1793
```

Calculated values
Formation energy without anion corrections: -1726 meV per atom
Space-group type: R3m (160)
Magnetization: 0.00 μB/f.u.
V: 104 Å³/cell
DOS(E_F): 1.575 states/eV/cell
Raw total energy: -0.2245 Ha/atom

***

Entry 5:
VASP calculation (GGA-PBE) on Rb3Bi2Pt after structural relaxation.

Geometry as POSCAR:
```
Rb3Bi2Pt
1.0
6.8643 -0.8899 2.8997
-1.2126 6.8147 2.8997
0.8342 0.8745 12.4947
Rb Bi Pt
6 4 2
direct
0.9905 0.2140 0.0596
0.2140 0.9905 0.5596
0.0095 0.7860 0.9404
0.3130 0.6870 0.2500
0.7860 0.0095 0.4404
0.6870 0.3130 0.7500
0.5516 0.7164 0.8748
0.4484 0.2836 0.1252
0.2836 0.4484 0.6252
0.7164 0.5516 0.3748
0.3853 0.6147 0.7500
0.6147 0.3853 0.2500
```

Calculated values
Offset from the most stable computed form: 0.00 eV per formula unit
Space-group type: C2/c (15)
Magnetization: 0.00 μB/f.u.
V: 532 Å³/cell
DOS(E_F): 8.318 states/eV/cell
Raw total energy: -0.1129 Ha/atom

***

Entry 6:
VASP calculation (GGA-PBE) on TbGdErOs after structural relaxation.

Geometry as POSCAR:
```
TbGdErOs
1.0
5.1278 0.0000 0.0000
2.5639 4.4408 0.0000
2.5639 1.4803 4.1868
Gd Os Tb Er
1 1 1 1
direct
0.0000 0.0000 0.0000
0.2500 0.2500 0.2500
0.5000 0.5000 0.5000
0.7500 0.7500 0.7500
```

Calculated values
Space-group type: F-43m (216)
Magnetization: 7.29 μB/f.u.
V: 95 Å³/cell
DOS(E_F): 4.487 states/eV/cell
Raw total energy: -0.3119 Ha/atom